Record 1
# PrNdY PBE-GGA relaxed
data_PrNdY
_chemical_formula_sum 'Pr2 Nd2 Y2'
_cell_length_a 5.175
_cell_length_b 6.340
_cell_length_c 7.288
_cell_angle_alpha 73.25
_cell_angle_beta 89.94
_cell_angle_gamma 65.93
_space_group_name_H-M_alt 'P -1'
_space_group_IT_number 2
_space_group_name_Hall '-P 1'
loop_
_atom_site_label
_atom_site_type_symbol
_atom_site_fract_x
_atom_site_fract_y
_atom_site_fract_z
Pr1 Pr 0.168 0.165 0.084
Nd1 Nd 0.499 0.502 0.748
Y1 Y 0.166 0.167 0.582
# Relative energy among the computed polymorphs in meV per atom: 0
# Theoretical density in g cm⁻³: 6.0
# DOS(E_F) in states/eV per cell: 8.68
# Energy of formation from the pure elements in eV/atom: 0.013
# V in Å³/cell: 207.2

Record 2
# Pr6Nd3Y2 PBE-GGA relaxed
data_Pr6Nd3Y2
_chemical_formula_sum 'Pr12 Nd6 Y4'
_cell_length_a 4.836
_cell_length_b 4.836
_cell_length_c 34.655
_cell_angle_alpha 90.00
_cell_angle_beta 90.00
_cell_angle_gamma 90.00
_space_group_name_H-M_alt 'I 4/m m m'
_space_group_IT_number 139
_space_group_name_Hall '-I 4 2'
loop_
_atom_site_label
_atom_site_type_symbol
_atom_site_fract_x
_atom_site_fract_y
_atom_site_fract_z
Pr1 Pr 0.000 0.000 0.205
Pr2 Pr 0.000 0.500 0.120
Nd1 Nd 0.000 0.000 0.305
Nd2 Nd 0.000 0.000 0.500
Y1 Y 0.000 0.000 0.045
# Relative energy among the computed polymorphs in meV per atom: 260
# Theoretical density in g cm⁻³: 6.0
# DOS(E_F) in states/eV per cell: 34.24
# Energy of formation from the pure elements in eV/atom: 0.271
# V in Å³/cell: 810.4

Record 3
# Pr2Nd9Y PBE-GGA relaxed
data_Pr2Nd9Y
_chemical_formula_sum 'Pr2 Nd9 Y1'
_cell_length_a 5.202
_cell_length_b 5.202
_cell_length_c 15.598
_cell_angle_alpha 90.00
_cell_angle_beta 90.00
_cell_angle_gamma 90.00
_space_group_name_H-M_alt 'P 4/m m m'
_space_group_IT_number 123
_space_group_name_Hall '-P 4 2'
loop_
_atom_site_label
_atom_site_type_symbol
_atom_site_fract_x
_atom_site_fract_y
_atom_site_fract_z
Pr1 Pr 0.000 0.000 0.168
Nd1 Nd 0.000 0.500 0.000
Nd2 Nd 0.000 0.500 0.335
Nd3 Nd 0.500 0.500 0.168
Nd4 Nd 0.500 0.500 0.500
Y1 Y 0.000 0.000 0.500
# Theoretical density in g cm⁻³: 6.6
# DOS(E_F) in states/eV per cell: 19.98
# Energy of formation from the pure elements in eV/atom: 0.013
# V in Å³/cell: 422.0

Record 4
# Pr3Nd6Y2 PBE-GGA relaxed
data_Pr3Nd6Y2
_chemical_formula_sum 'Pr9 Nd18 Y6'
_cell_length_a 3.6708
_cell_length_b 3.6708
_cell_length_c 98.9766
_cell_angle_alpha 90.00
_cell_angle_beta 90.00
_cell_angle_gamma 120.00
_space_group_name_H-M_alt 'R -3 m'
_space_group_IT_number 166
_space_group_name_Hall '-R 3 2"'
loop_
_atom_site_label
_atom_site_type_symbol
_atom_site_fract_x
_atom_site_fract_y
_atom_site_fract_z
Pr1 Pr 0.0000 0.0000 0.0000
Pr2 Pr 0.0000 0.0000 0.2722
Nd1 Nd 0.0000 0.0000 0.0919
Nd2 Nd 0.0000 0.0000 0.1820
Nd3 Nd 0.0000 0.0000 0.3639
Y1 Y 0.0000 0.0000 0.4549
# Relative energy among the computed polymorphs in meV per atom: 0
# Theoretical density in g cm⁻³: 6.3
# DOS(E_F) in states/eV per cell: 45.90
# Energy of formation from the pure elements in eV/atom: 0.012
# V in Å³/cell: 1155.0

Record 5
# Pr5Nd12Y2 PBE-GGA relaxed
data_Pr5Nd12Y2
_chemical_formula_sum 'Pr10 Nd24 Y4'
_cell_length_a 16.075
_cell_length_b 10.505
_cell_length_c 8.087
_cell_angle_alpha 90.00
_cell_angle_beta 91.50
_cell_angle_gamma 90.00
_space_group_name_H-M_alt 'C 1 2/m 1'
_space_group_IT_number 12
_space_group_name_Hall '-C 2y'
loop_
_atom_site_label
_atom_site_type_symbol
_atom_site_fract_x
_atom_site_fract_y
_atom_site_fract_z
Pr1 Pr 0.000 0.000 0.000
Pr2 Pr 0.150 0.500 0.580
Pr3 Pr 0.245 0.000 0.982
Nd1 Nd 0.051 0.500 0.208
Nd2 Nd 0.105 0.276 0.890
Nd3 Nd 0.148 0.000 0.614
Nd4 Nd 0.192 0.230 0.295
Y1 Y 0.000 0.244 0.500
# Relative energy among the computed polymorphs in meV per atom: 0
# Theoretical density in g cm⁻³: 6.4
# DOS(E_F) in states/eV per cell: 55.70
# Energy of formation from the pure elements in eV/atom: 0.119
# V in Å³/cell: 1365.1

Record 6
# Pr4Nd2Y PBE-GGA relaxed
data_Pr4Nd2Y
_chemical_formula_sum 'Pr16 Nd8 Y4'
_cell_length_a 6.589
_cell_length_b 24.701
_cell_length_c 6.955
_cell_angle_alpha 90.00
_cell_angle_beta 118.23
_cell_angle_gamma 90.00
_space_group_name_H-M_alt 'C 1 c 1'
_space_group_IT_number 9
_space_group_name_Hall 'C -2yc'
loop_
_atom_site_label
_atom_site_type_symbol
_atom_site_fract_x
_atom_site_fract_y
_atom_site_fract_z
Pr1 Pr 0.000 0.019 0.000
Pr2 Pr 0.086 0.305 0.224
Pr3 Pr 0.125 0.269 0.750
Pr4 Pr 0.486 0.055 0.526
Nd1 Nd 0.063 0.411 0.580
Nd2 Nd 0.108 0.161 0.171
Y1 Y 0.033 0.125 0.626
# Relative energy among the computed polymorphs in meV per atom: 50
# Theoretical density in g cm⁻³: 6.3
# DOS(E_F) in states/eV per cell: 44.39
# Energy of formation from the pure elements in eV/atom: 0.057
# V in Å³/cell: 997.3

Record 7
# Pr6Nd12Y PBE-GGA relaxed
data_Pr6Nd12Y
_chemical_formula_sum 'Pr18 Nd36 Y3'
_cell_length_a 16.6586
_cell_length_b 16.6586
_cell_length_c 8.6409
_cell_angle_alpha 90.00
_cell_angle_beta 90.00
_cell_angle_gamma 120.00
_space_group_name_H-M_alt 'R -3 m'
_space_group_IT_number 166
_space_group_name_Hall '-R 3 2"'
loop_
_atom_site_label
_atom_site_type_symbol
_atom_site_fract_x
_atom_site_fract_y
_atom_site_fract_z
Pr1 Pr 0.0845 0.1691 0.1464
Nd1 Nd 0.0000 0.3792 0.0000
Nd2 Nd 0.0929 0.5464 0.3166
Y1 Y 0.0000 0.0000 0.5000
# Relative energy among the computed polymorphs in meV per atom: 164
# Theoretical density in g cm⁻³: 6.4
# DOS(E_F) in states/eV per cell: 96.47
# Energy of formation from the pure elements in eV/atom: 0.289
# V in Å³/cell: 2076.7

Record 8
# Pr6Nd3Y PBE-GGA relaxed
data_Pr6Nd3Y
_chemical_formula_sum 'Pr12 Nd6 Y2'
_cell_length_a 11.558
_cell_length_b 7.247
_cell_length_c 8.995
_cell_angle_alpha 90.00
_cell_angle_beta 103.55
_cell_angle_gamma 90.00
_space_group_name_H-M_alt 'C 1 2/m 1'
_space_group_IT_number 12
_space_group_name_Hall '-C 2y'
loop_
_atom_site_label
_atom_site_type_symbol
_atom_site_fract_x
_atom_site_fract_y
_atom_site_fract_z
Pr1 Pr 0.161 0.000 0.492
Pr2 Pr 0.246 0.225 0.191
Nd1 Nd 0.000 0.500 0.000
Nd2 Nd 0.041 0.000 0.844
Y1 Y 0.000 0.500 0.500
# Relative energy among the computed polymorphs in meV per atom: 122
# Theoretical density in g cm⁻³: 6.2
# DOS(E_F) in states/eV per cell: 33.61
# Energy of formation from the pure elements in eV/atom: 0.253
# V in Å³/cell: 732.4